Record 1
Here is Tb5Dy4Th after structural relaxation from Alexandria via LeMat-Bulk. Energies are from PBE.

energy relative to the elements = 31 kJ/mol of atoms
polymorph energy (0 for the lowest one) = 105 meV/atom
N(E_F) = 1.45 states/eV per atom
mass density = 8.5 g/cm3
total DFT energy (no corrections) = -91.5 eV/cell

```
data_Tb5Dy4Th
_space_group_name_H-M_alt 'I 4'
_space_group_IT_number 79
_cell_length_a 10.171
_cell_length_b 10.171
_cell_length_c 6.354
_cell_angle_alpha 90.00
_cell_angle_beta 90.00
_cell_angle_gamma 90.00
loop_
_space_group_symop_operation_xyz
'x,y,z'
'-y,x,z'
'-x,-y,z'
'y,-x,z'
'x+1/2,y+1/2,z+1/2'
'-y+1/2,x+1/2,z+1/2'
'-x+1/2,-y+1/2,z+1/2'
'y+1/2,-x+1/2,z+1/2'
loop_
_atom_site_label
_atom_site_fract_x
_atom_site_fract_y
_atom_site_fract_z
Tb1 0.000 0.000 0.000
Tb2 0.146 0.232 0.739
Dy1 0.048 0.345 0.241
Th1 0.000 0.000 0.464
```

Record 2
Here is Tb8DyTh2 after structural relaxation from Alexandria via LeMat-Bulk. Energies are from PBE.

energy relative to the elements = 19 kJ/mol of atoms
N(E_F) = 1.24 states/eV per atom
mass density = 8.8 g/cm3
total DFT energy (no corrections) = -108.6 eV/cell

```
data_Tb8DyTh2
_space_group_name_H-M_alt 'C 1 2/m 1'
_space_group_IT_number 12
_cell_length_a 8.987
_cell_length_b 16.099
_cell_length_c 5.950
_cell_angle_alpha 90.00
_cell_angle_beta 123.25
_cell_angle_gamma 90.00
loop_
_space_group_symop_operation_xyz
'x,y,z'
'-x,-y,-z'
'-x,y,-z'
'x,-y,z'
'x+1/2,y+1/2,z'
'-x+1/2,-y+1/2,-z'
'-x+1/2,y+1/2,-z'
'x+1/2,-y+1/2,z'
loop_
_atom_site_label
_atom_site_fract_x
_atom_site_fract_y
_atom_site_fract_z
Tb1 0.000 0.208 0.000
Tb2 0.077 0.500 0.794
Tb3 0.217 0.117 0.676
Dy1 0.000 0.000 0.000
Th1 0.000 0.307 0.500
```

Record 3
Here is TbDy4Th after structural relaxation from Alexandria via LeMat-Bulk. Energies are from PBE.

energy relative to the elements = 2 kJ/mol of atoms
polymorph energy (0 for the lowest one) = 0 meV/atom
N(E_F) = 1.36 states/eV per atom
mass density = 9.1 g/cm3
total DFT energy (no corrections) = -30.3 eV/cell

```
data_TbDy4Th
_space_group_name_H-M_alt 'P -1'
_space_group_IT_number 2
_cell_length_a 3.547
_cell_length_b 6.146
_cell_length_c 9.409
_cell_angle_alpha 77.43
_cell_angle_beta 79.15
_cell_angle_gamma 73.41
loop_
_space_group_symop_operation_xyz
'x,y,z'
'-x,-y,-z'
loop_
_atom_site_label
_atom_site_fract_x
_atom_site_fract_y
_atom_site_fract_z
Tb1 0.000 0.000 0.000
Dy1 0.334 0.501 0.829
Dy2 0.335 0.995 0.337
Th1 0.000 0.500 0.500
```

Record 4
Here is Tb3Dy4Th5 after structural relaxation from Alexandria via LeMat-Bulk. Energies are from PBE.

energy relative to the elements = 30 kJ/mol of atoms
N(E_F) = 1.61 states/eV per atom
mass density = 9.5 g/cm3
total DFT energy (no corrections) = -131.4 eV/cell

```
data_Tb3Dy4Th5
_space_group_name_H-M_alt 'C 1 2/m 1'
_space_group_IT_number 12
_cell_length_a 9.839
_cell_length_b 5.806
_cell_length_c 14.779
_cell_angle_alpha 90.00
_cell_angle_beta 108.95
_cell_angle_gamma 90.00
loop_
_space_group_symop_operation_xyz
'x,y,z'
'-x,-y,-z'
'-x,y,-z'
'x,-y,z'
'x+1/2,y+1/2,z'
'-x+1/2,-y+1/2,-z'
'-x+1/2,y+1/2,-z'
'x+1/2,-y+1/2,z'
loop_
_atom_site_label
_atom_site_fract_x
_atom_site_fract_y
_atom_site_fract_z
Tb1 0.000 0.000 0.000
Tb2 0.045 0.500 0.247
Dy1 0.176 0.000 0.858
Dy2 0.205 0.000 0.246
Th1 0.000 0.500 0.000
Th2 0.062 0.000 0.624
Th3 0.168 0.500 0.500
```

Record 5
Here is Tb15Dy4Th after structural relaxation from Alexandria via LeMat-Bulk. Energies are from PBE.

energy relative to the elements = 2 kJ/mol of atoms
N(E_F) = 1.35 states/eV per atom
mass density = 8.5 g/cm3
total DFT energy (no corrections) = -94.9 eV/cell

```
data_Tb15Dy4Th
_space_group_name_H-M_alt 'P 4/m m m'
_space_group_IT_number 123
_space_group_name_Hall '-P 4 2'
_cell_length_a 5.040
_cell_length_b 5.040
_cell_length_c 25.115
_cell_angle_alpha 90.00
_cell_angle_beta 90.00
_cell_angle_gamma 90.00
loop_
_atom_site_label
_atom_site_fract_x
_atom_site_fract_y
_atom_site_fract_z
Tb1 0.000 0.000 0.000
Tb2 0.000 0.000 0.201
Tb3 0.000 0.000 0.400
Tb4 0.000 0.500 0.099
Tb5 0.000 0.500 0.300
Tb6 0.000 0.500 0.500
Dy1 0.500 0.500 0.200
Dy2 0.500 0.500 0.400
Th1 0.500 0.500 0.000
```

Record 6
Here is TbDy8Th3 after structural relaxation from Alexandria via LeMat-Bulk. Energies are from PBE.

energy relative to the elements = 72 kJ/mol of atoms
N(E_F) = 1.57 states/eV per atom
mass density = 8.3 g/cm3
total DFT energy (no corrections) = -109.6 eV/cell

```
data_TbDy8Th3
_space_group_name_H-M_alt 'I -4 2 m'
_space_group_IT_number 121
_space_group_name_Hall 'I -4 2'
_cell_length_a 8.720
_cell_length_b 8.720
_cell_length_c 11.287
_cell_angle_alpha 90.00
_cell_angle_beta 90.00
_cell_angle_gamma 90.00
loop_
_atom_site_label
_atom_site_fract_x
_atom_site_fract_y
_atom_site_fract_z
Tb1 0.000 0.000 0.000
Dy1 0.128 0.128 0.755
Dy2 0.241 0.241 0.018
Th1 0.000 0.000 0.500
Th2 0.000 0.500 0.250
```

Record 7
Here is Tb5Dy6Th after structural relaxation from Alexandria via LeMat-Bulk. Energies are from PBE.

energy relative to the elements = 12 kJ/mol of atoms
N(E_F) = 1.77 states/eV per atom
mass density = 8.7 g/cm3
total DFT energy (no corrections) = -113.5 eV/cell

```
data_Tb5Dy6Th
_space_group_name_H-M_alt 'I m m m'
_space_group_IT_number 71
_space_group_name_Hall '-I 2 2'
_cell_length_a 5.817
_cell_length_b 7.386
_cell_length_c 17.881
_cell_angle_alpha 90.00
_cell_angle_beta 90.00
_cell_angle_gamma 90.00
loop_
_atom_site_label
_atom_site_fract_x
_atom_site_fract_y
_atom_site_fract_z
Tb1 0.000 0.000 0.000
Tb2 0.000 0.000 0.345
Tb3 0.000 0.500 0.345
Dy1 0.000 0.247 0.500
Dy2 0.000 0.252 0.179
Th1 0.000 0.500 0.000
```

Record 8
Here is Tb3Dy9Th2 after structural relaxation from Alexandria via LeMat-Bulk. Energies are from PBE.

energy relative to the elements = 31 kJ/mol of atoms
N(E_F) = 1.18 states/eV per atom
mass density = 8.6 g/cm3
total DFT energy (no corrections) = -131.2 eV/cell

```
data_Tb3Dy9Th2
_space_group_name_H-M_alt 'C 1 2/m 1'
_space_group_IT_number 12
_cell_length_a 17.337
_cell_length_b 10.309
_cell_length_c 5.470
_cell_angle_alpha 90.00
_cell_angle_beta 108.29
_cell_angle_gamma 90.00
loop_
_space_group_symop_operation_xyz
'x,y,z'
'-x,-y,-z'
'-x,y,-z'
'x,-y,z'
'x+1/2,y+1/2,z'
'-x+1/2,-y+1/2,-z'
'-x+1/2,y+1/2,-z'
'x+1/2,-y+1/2,z'
loop_
_atom_site_label
_atom_site_fract_x
_atom_site_fract_y
_atom_site_fract_z
Tb1 0.000 0.000 0.000
Tb2 0.179 0.000 0.679
Dy1 0.000 0.500 0.000
Dy2 0.126 0.228 0.126
Dy3 0.187 0.350 0.686
Th1 0.000 0.231 0.500
```

Record 9
Here is Tb2DyTh2 after structural relaxation from Alexandria via LeMat-Bulk. Energies are from PBE.

energy relative to the elements = 43 kJ/mol of atoms
polymorph energy (0 for the lowest one) = 384 meV/atom
N(E_F) = 1.60 states/eV per atom
mass density = 9.3 g/cm3
total DFT energy (no corrections) = -211.7 eV/cell

```
data_Tb2DyTh2
_space_group_name_H-M_alt 'F d d d'
_space_group_IT_number 70
_cell_length_a 3.481
_cell_length_b 16.790
_cell_length_c 23.127
_cell_angle_alpha 90.00
_cell_angle_beta 90.00
_cell_angle_gamma 90.00
loop_
_space_group_symop_operation_xyz
'x,y,z'
'-x,-y,-z'
'-x+1/4,-y+1/4,z'
'x+1/4,y+1/4,-z'
'x,-y+1/4,-z+1/4'
'-x,y+1/4,z+1/4'
'-x+1/4,y,-z+1/4'
'x+1/4,-y,z+1/4'
'x,y+1/2,z+1/2'
'-x,-y+1/2,-z+1/2'
'-x+1/4,-y+3/4,z+1/2'
'x+1/4,y+3/4,-z+1/2'
'x,-y+3/4,-z+3/4'
'-x,y+3/4,z+3/4'
'-x+1/4,y+1/2,-z+3/4'
'x+1/4,-y+1/2,z+3/4'
'x+1/2,y,z+1/2'
'-x+1/2,-y,-z+1/2'
'-x+3/4,-y+1/4,z+1/2'
'x+3/4,y+1/4,-z+1/2'
'x+1/2,-y+1/4,-z+3/4'
'-x+1/2,y+1/4,z+3/4'
'-x+3/4,y,-z+3/4'
'x+3/4,-y,z+3/4'
'x+1/2,y+1/2,z'
'-x+1/2,-y+1/2,-z'
'-x+3/4,-y+3/4,z'
'x+3/4,y+3/4,-z'
'x+1/2,-y+3/4,-z+1/4'
'-x+1/2,y+3/4,z+1/4'
'-x+3/4,y+1/2,-z+1/4'
'x+3/4,-y+1/2,z+1/4'
loop_
_atom_site_label
_atom_site_fract_x
_atom_site_fract_y
_atom_site_fract_z
Tb1 0.125 0.295 0.125
Dy1 0.125 0.125 0.625
Th1 0.000 0.000 0.500
```